1.
# AlSiRh4 PBE-GGA optimized geometry
data_AlSiRh4
_space_group_name_H-M_alt 'F -4 3 m'
_space_group_IT_number 216
_space_group_name_Hall 'F -4 2 3'
_cell_length_a 7.218
_cell_length_b 7.218
_cell_length_c 7.218
_cell_angle_alpha 90.00
_cell_angle_beta 90.00
_cell_angle_gamma 90.00
loop_
_atom_site_label
_atom_site_type_symbol
_atom_site_fract_x
_atom_site_fract_y
_atom_site_fract_z
Al1 Al 0.000 0.000 0.000
Si1 Si 0.250 0.250 0.750
Rh1 Rh 0.125 0.125 0.375
# Uncorrected formation energy, kJ/mol of formula units: 88
# Offset from the most stable computed form, eV per atom: 0.6764

2.
# Pu6Ga2Sb PBE-GGA optimized geometry
data_Pu6Ga2Sb
_space_group_name_H-M_alt 'P 6/m m m'
_space_group_IT_number 191
_space_group_name_Hall '-P 6 2'
_cell_length_a 8.7787
_cell_length_b 8.7787
_cell_length_c 3.2386
_cell_angle_alpha 90.00
_cell_angle_beta 90.00
_cell_angle_gamma 120.00
loop_
_atom_site_label
_atom_site_type_symbol
_atom_site_fract_x
_atom_site_fract_y
_atom_site_fract_z
Pu1 Pu 0.0000 0.3361 0.0000
Ga1 Ga 0.3333 0.6667 0.5000
Sb1 Sb 0.0000 0.0000 0.5000
# Uncorrected formation energy, kJ/mol of formula units: -75

3.
# DyPuSn2 PBE-GGA optimized geometry
data_DyPuSn2
_space_group_name_H-M_alt 'P 4/m m m'
_space_group_IT_number 123
_space_group_name_Hall '-P 4 2'
_cell_length_a 3.974
_cell_length_b 3.974
_cell_length_c 6.763
_cell_angle_alpha 90.00
_cell_angle_beta 90.00
_cell_angle_gamma 90.00
loop_
_atom_site_label
_atom_site_type_symbol
_atom_site_fract_x
_atom_site_fract_y
_atom_site_fract_z
Dy1 Dy 0.000 0.000 0.000
Pu1 Pu 0.000 0.000 0.500
Sn1 Sn 0.500 0.500 0.240
# Energy relative to the elements, eV/atom: -0.464

4.
# ThUTe2 PBE-GGA optimized geometry
data_ThUTe2
_space_group_name_H-M_alt 'P 4/m m m'
_space_group_IT_number 123
_space_group_name_Hall '-P 4 2'
_cell_length_a 3.803
_cell_length_b 3.803
_cell_length_c 7.610
_cell_angle_alpha 90.00
_cell_angle_beta 90.00
_cell_angle_gamma 90.00
loop_
_atom_site_label
_atom_site_type_symbol
_atom_site_fract_x
_atom_site_fract_y
_atom_site_fract_z
Th1 Th 0.000 0.000 0.000
U1 U 0.000 0.000 0.500
Te1 Te 0.500 0.500 0.254
# Uncorrected formation energy, kJ/mol of formula units: -282
# Offset from the most stable computed form, eV per atom: 0.0000

5.
# CaCd2Pt PBE-GGA optimized geometry
data_CaCd2Pt
_space_group_name_H-M_alt 'I 4/m m m'
_space_group_IT_number 139
_space_group_name_Hall '-I 4 2'
_cell_length_a 4.367
_cell_length_b 4.367
_cell_length_c 8.766
_cell_angle_alpha 90.00
_cell_angle_beta 90.00
_cell_angle_gamma 90.00
loop_
_atom_site_label
_atom_site_type_symbol
_atom_site_fract_x
_atom_site_fract_y
_atom_site_fract_z
Ca1 Ca 0.000 0.000 0.000
Cd1 Cd 0.000 0.500 0.250
Pt1 Pt 0.000 0.000 0.500
# Energy relative to the elements, eV/atom: -0.450

6.
# K2BeSnCl6 PBE-GGA optimized geometry
data_K2BeSnCl6
_space_group_name_H-M_alt 'R 3'
_space_group_IT_number 146
_space_group_name_Hall 'R 3'
_cell_length_a 7.2837
_cell_length_b 7.2837
_cell_length_c 22.5301
_cell_angle_alpha 90.00
_cell_angle_beta 90.00
_cell_angle_gamma 120.00
loop_
_atom_site_label
_atom_site_type_symbol
_atom_site_fract_x
_atom_site_fract_y
_atom_site_fract_z
K1 K 0.0000 0.0000 0.0000
K2 K 0.0000 0.0000 0.4963
Be1 Be 0.0000 0.0000 0.2406
Sn1 Sn 0.0000 0.0000 0.7962
Cl1 Cl 0.0531 0.7011 0.4040
Cl2 Cl 0.0752 0.3949 0.9062
# Uncorrected formation energy, kJ/mol of formula units: -1461

Copy entry 6 word for word.
# K2BeSnCl6 PBE-GGA optimized geometry
data_K2BeSnCl6
_space_group_name_H-M_alt 'R 3'
_space_group_IT_number 146
_space_group_name_Hall 'R 3'
_cell_length_a 7.2837
_cell_length_b 7.2837
_cell_length_c 22.5301
_cell_angle_alpha 90.00
_cell_angle_beta 90.00
_cell_angle_gamma 120.00
loop_
_atom_site_label
_atom_site_type_symbol
_atom_site_fract_x
_atom_site_fract_y
_atom_site_fract_z
K1 K 0.0000 0.0000 0.0000
K2 K 0.0000 0.0000 0.4963
Be1 Be 0.0000 0.0000 0.2406
Sn1 Sn 0.0000 0.0000 0.7962
Cl1 Cl 0.0531 0.7011 0.4040
Cl2 Cl 0.0752 0.3949 0.9062
# Uncorrected formation energy, kJ/mol of formula units: -1461